Computed, not measured: a geometry-optimized Li4Co3NiP4O16 structure at the PBE with a Hubbard U level of DFT.

```
data_Li4Co3NiP4O16
_chemical_formula_sum 'Li4 Co3 Ni1 P4 O16'
_cell_length_a 4.748
_cell_length_b 5.964
_cell_length_c 10.269
_cell_angle_alpha 90.00
_cell_angle_beta 90.03
_cell_angle_gamma 90.00
_symmetry_space_group_name_H-M 'P 1 m 1'
_symmetry_Int_Tables_number 6
loop_
_symmetry_equiv_pos_as_xyz
'x,y,z'
'x,-y,z'
loop_
_atom_site_label
_atom_site_type_symbol
_atom_site_fract_x
_atom_site_fract_y
_atom_site_fract_z
_atom_site_occupancy
Li1 Li 0.000 0.249 0.000 1
Li2 Li 0.499 0.251 0.499 1
Co1 Co 0.018 0.500 0.278 1
Co2 Co 0.482 0.500 0.780 1
Co3 Co 0.983 0.000 0.719 1
Ni1 Ni 0.515 0.000 0.221 1
P1 P 0.081 0.000 0.401 1
P2 P 0.420 0.000 0.905 1
P3 P 0.582 0.500 0.094 1
P4 P 0.919 0.500 0.594 1
O1 O 0.201 0.000 0.542 1
O2 O 0.221 0.206 0.330 1
O3 O 0.242 0.500 0.598 1
O4 O 0.259 0.500 0.097 1
O5 O 0.281 0.206 0.833 1
O6 O 0.300 0.000 0.046 1
O7 O 0.704 0.500 0.953 1
O8 O 0.720 0.293 0.164 1
O9 O 0.743 0.000 0.900 1
O10 O 0.758 0.000 0.397 1
O11 O 0.781 0.294 0.665 1
O12 O 0.797 0.500 0.454 1
```

Calculated values
The total energy is -6.530 eV per atom.